Compound: MnTlN2O
Source: Alexandria
Functional: GGA+U
Structure: relaxed

Geometry as POSCAR:
```
MnTlN2O
1.0
3.6424 0.0000 0.0000
0.0000 3.6424 0.0000
0.0000 0.0000 4.3708
Mn Tl N O
1 1 2 1
direct
0.0000 0.0000 0.0000
0.5000 0.5000 0.5000
0.0000 0.5000 0.0000
0.5000 0.0000 0.0000
0.0000 0.0000 0.5000
```

Properties
The calculation puts the calculated total energy at -5.372 eV/atom. The value obtained for the density of states at the Fermi level is 0.433 states/eV per atom.